1.
The following is a PBE calculation of a relaxed structure of Sr2In3Pd4, from the Alexandria database.

Values from the calculation:
Total magnetization in μB/f.u.: 0.000
ΔE_f in kJ per mole of atoms: -60.6

```
data_Sr2In3Pd4
_chemical_formula_sum 'Sr8 In12 Pd16'
_cell_length_a 6.169
_cell_length_b 16.731
_cell_length_c 7.824
_cell_angle_alpha 90.00
_cell_angle_beta 90.00
_cell_angle_gamma 90.00
_symmetry_space_group_name_H-M 'C m c e'
_symmetry_Int_Tables_number 64
_symmetry_space_group_name_Hall '-C 2ac 2'
loop_
_atom_site_label
_atom_site_type_symbol
_atom_site_fract_x
_atom_site_fract_y
_atom_site_fract_z
Sr1 Sr 0.000 0.104 0.084
In1 In 0.000 0.000 0.500
In2 In 0.250 0.233 0.750
Pd1 Pd 0.000 0.172 0.482
Pd2 Pd 0.250 0.068 0.750
```

2.
The following is a PBE calculation of a relaxed structure of SrInPd3, from the Alexandria database.

Values from the calculation:
Excess energy over the best structure of this formula in the dataset in eV/atom: 1.231
Total magnetization in μB/f.u.: 0.000
ΔE_f in kJ per mole of atoms: 69.3

```
data_SrInPd3
_chemical_formula_sum 'Sr1 In1 Pd3'
_cell_length_a 5.188
_cell_length_b 5.188
_cell_length_c 5.188
_cell_angle_alpha 90.00
_cell_angle_beta 90.00
_cell_angle_gamma 90.00
_symmetry_space_group_name_H-M 'P m -3 m'
_symmetry_Int_Tables_number 221
_symmetry_space_group_name_Hall '-P 4 2 3'
loop_
_atom_site_label
_atom_site_type_symbol
_atom_site_fract_x
_atom_site_fract_y
_atom_site_fract_z
Sr1 Sr 0.000 0.000 0.000
In1 In 0.500 0.500 0.500
Pd1 Pd 0.000 0.000 0.500
```

3.
The following is a PBE calculation of a relaxed structure of SrIn3Pd, from the Alexandria database.

Values from the calculation:
Total magnetization in μB/f.u.: 0.000
ΔE_f in kJ per mole of atoms: -39.8

```
data_SrIn3Pd
_chemical_formula_sum 'Sr2 In6 Pd2'
_cell_length_a 7.0525
_cell_length_b 7.0525
_cell_length_c 6.0470
_cell_angle_alpha 90.00
_cell_angle_beta 90.00
_cell_angle_gamma 120.00
_symmetry_space_group_name_H-M 'P 63/m m c'
_symmetry_Int_Tables_number 194
_symmetry_space_group_name_Hall '-P 6c 2c'
loop_
_atom_site_label
_atom_site_type_symbol
_atom_site_fract_x
_atom_site_fract_y
_atom_site_fract_z
Sr1 Sr 0.3333 0.6667 0.2500
In1 In 0.1862 0.3723 0.7500
Pd1 Pd 0.0000 0.0000 0.0000
```

4.
The following is a PBE calculation of a relaxed structure of Sr3InPd, from the Alexandria database.

Values from the calculation:
Excess energy over the best structure of this formula in the dataset in eV/atom: 0.000
Total magnetization in μB/f.u.: 0.000
ΔE_f in kJ per mole of atoms: -39.8

```
data_Sr3InPd
_chemical_formula_sum 'Sr12 In4 Pd4'
_cell_length_a 17.162
_cell_length_b 4.499
_cell_length_c 11.241
_cell_angle_alpha 90.00
_cell_angle_beta 123.28
_cell_angle_gamma 90.00
_symmetry_space_group_name_H-M 'C 1 2/m 1'
_symmetry_Int_Tables_number 12
_symmetry_space_group_name_Hall '-C 2y'
loop_
_atom_site_label
_atom_site_type_symbol
_atom_site_fract_x
_atom_site_fract_y
_atom_site_fract_z
Sr1 Sr 0.092 0.000 0.449
Sr2 Sr 0.137 0.500 0.212
Sr3 Sr 0.171 0.500 0.813
In1 In 0.066 0.000 0.927
Pd1 Pd 0.232 0.500 0.570
```

5.
The following is a PBE calculation of a relaxed structure of Sr6InPd3, from the Alexandria database.

Values from the calculation:
Total magnetization in μB/f.u.: 0.000
ΔE_f in kJ per mole of atoms: -41.8

```
data_Sr6InPd3
_chemical_formula_sum 'Sr12 In2 Pd6'
_cell_length_a 11.183
_cell_length_b 4.412
_cell_length_c 15.578
_cell_angle_alpha 90.00
_cell_angle_beta 110.17
_cell_angle_gamma 90.00
_symmetry_space_group_name_H-M 'P 1 21/m 1'
_symmetry_Int_Tables_number 11
_symmetry_space_group_name_Hall '-P 2yb'
loop_
_atom_site_label
_atom_site_type_symbol
_atom_site_fract_x
_atom_site_fract_y
_atom_site_fract_z
Sr1 Sr 0.022 0.250 0.113
Sr2 Sr 0.068 0.750 0.414
Sr3 Sr 0.226 0.250 0.810
Sr4 Sr 0.336 0.250 0.593
Sr5 Sr 0.346 0.250 0.333
Sr6 Sr 0.365 0.750 0.066
In1 In 0.429 0.750 0.776
Pd1 Pd 0.164 0.750 0.650
Pd2 Pd 0.167 0.250 0.983
Pd3 Pd 0.411 0.750 0.477
```

6.
The following is a PBE calculation of a relaxed structure of SrIn4Pd8, from the Alexandria database.

Values from the calculation:
Total magnetization in μB/f.u.: 0.000
ΔE_f in kJ per mole of atoms: -43.4

```
data_SrIn4Pd8
_chemical_formula_sum 'Sr2 In8 Pd16'
_cell_length_a 9.192
_cell_length_b 9.192
_cell_length_c 5.853
_cell_angle_alpha 90.00
_cell_angle_beta 90.00
_cell_angle_gamma 90.00
_symmetry_space_group_name_H-M 'I 4/m m m'
_symmetry_Int_Tables_number 139
_symmetry_space_group_name_Hall '-I 4 2'
loop_
_atom_site_label
_atom_site_type_symbol
_atom_site_fract_x
_atom_site_fract_y
_atom_site_fract_z
Sr1 Sr 0.000 0.000 0.000
In1 In 0.250 0.250 0.250
Pd1 Pd 0.000 0.223 0.500
Pd2 Pd 0.000 0.347 0.000
```